(1)
Density functional theory data (meta-GGA SCAN) for a PBEsol-optimized structure of NdAlPd2.

Results
calculated volume: 18.8 Å³ per atom
density: 8.5 Mg/m³
energy of formation: -0.994 eV/atom

```
data_NdAlPd2
_chemical_formula_sum 'Nd4 Al4 Pd8'
_space_group_name_H-M_alt 'P 1'
_space_group_IT_number 1
_cell_length_a 5.7819
_cell_length_b 6.9905
_cell_length_c 7.4237
_cell_angle_alpha 90.00
_cell_angle_beta 90.00
_cell_angle_gamma 90.00
loop_
_space_group_symop_operation_xyz
'x,y,z'
loop_
_atom_site_label
_atom_site_type_symbol
_atom_site_fract_x
_atom_site_fract_y
_atom_site_fract_z
Nd1 Nd 0.1517 0.7500 0.4671
Nd2 Nd 0.6517 0.2500 0.0329
Nd3 Nd 0.3483 0.7500 0.9671
Nd4 Nd 0.8483 0.2500 0.5329
Al1 Al 0.8461 0.7500 0.1169
Al2 Al 0.1539 0.2500 0.8831
Al3 Al 0.6539 0.7500 0.6169
Al4 Al 0.3461 0.2500 0.3831
Pd1 Pd 0.0863 0.0527 0.1778
Pd2 Pd 0.9137 0.5527 0.8222
Pd3 Pd 0.0863 0.4473 0.1778
Pd4 Pd 0.4137 0.4473 0.6778
Pd5 Pd 0.5863 0.5527 0.3222
Pd6 Pd 0.5863 0.9473 0.3222
Pd7 Pd 0.9137 0.9473 0.8222
Pd8 Pd 0.4137 0.0527 0.6778
```

---

(2)
Density functional theory data (meta-GGA SCAN) for a PBEsol-optimized structure of PrNdAl6.

Results
calculated volume: 20.7 Å³ per atom
density: 4.5 Mg/m³
energy of formation: -0.469 eV/atom

```
data_PrNdAl6
_chemical_formula_sum 'Pr1 Nd1 Al6'
_space_group_name_H-M_alt 'P 1'
_space_group_IT_number 1
_cell_length_a 4.6127
_cell_length_b 6.4373
_cell_length_c 6.4373
_cell_angle_alpha 120.00
_cell_angle_beta 90.00
_cell_angle_gamma 90.00
loop_
_space_group_symop_operation_xyz
'x,y,z'
loop_
_atom_site_label
_atom_site_type_symbol
_atom_site_fract_x
_atom_site_fract_y
_atom_site_fract_z
Al1 Al 0.5000 0.1913 0.3826
Al2 Al 0.0000 0.4759 0.9518
Al3 Al 0.5000 0.1913 0.8087
Al4 Al 0.0000 0.4759 0.5241
Al5 Al 0.5000 0.6174 0.8087
Al6 Al 0.0000 0.0482 0.5241
Pr1 Pr 0.0000 0.0000 0.0000
Nd1 Nd 0.5000 0.6667 0.3333
```

---

(3)
Density functional theory data (meta-GGA SCAN) for a PBEsol-optimized structure of PrNdAl4.

Results
calculated volume: 21.2 Å³ per atom
density: 5.1 Mg/m³
energy of formation: -0.533 eV/atom

```
data_PrNdAl4
_chemical_formula_sum 'Pr1 Nd1 Al4'
_space_group_name_H-M_alt 'P 1'
_space_group_IT_number 1
_cell_length_a 5.6462
_cell_length_b 5.6462
_cell_length_c 5.6462
_cell_angle_alpha 60.00
_cell_angle_beta 60.00
_cell_angle_gamma 60.00
loop_
_space_group_symop_operation_xyz
'x,y,z'
loop_
_atom_site_label
_atom_site_type_symbol
_atom_site_fract_x
_atom_site_fract_y
_atom_site_fract_z
Al1 Al 0.8748 0.3751 0.3751
Al2 Al 0.3751 0.3751 0.8748
Al3 Al 0.3751 0.3751 0.3751
Al4 Al 0.3751 0.8748 0.3751
Pr1 Pr 0.0000 0.0000 0.0000
Nd1 Nd 0.7500 0.7500 0.7500
```

---

(4)
Density functional theory data (meta-GGA SCAN) for a PBEsol-optimized structure of Nd2Al9Rh3.

Results
calculated volume: 17.5 Å³ per atom
density: 5.7 Mg/m³
energy of formation: -0.930 eV/atom

```
data_Nd2Al9Rh3
_chemical_formula_sum 'Nd4 Al18 Rh6'
_space_group_name_H-M_alt 'P 1'
_space_group_IT_number 1
_cell_length_a 7.6372
_cell_length_b 7.6372
_cell_length_c 9.6332
_cell_angle_alpha 90.00
_cell_angle_beta 90.00
_cell_angle_gamma 119.40
loop_
_space_group_symop_operation_xyz
'x,y,z'
loop_
_atom_site_label
_atom_site_type_symbol
_atom_site_fract_x
_atom_site_fract_y
_atom_site_fract_z
Al1 Al 0.3375 0.5457 0.2500
Al2 Al 0.5457 0.3375 0.2500
Al3 Al 0.4543 0.6625 0.7500
Al4 Al 0.9966 0.6653 0.9276
Al5 Al 0.1278 0.1278 0.2500
Al6 Al 0.0034 0.3347 0.0724
Al7 Al 0.8722 0.8722 0.7500
Al8 Al 0.6651 0.6651 0.0509
Al9 Al 0.3349 0.3349 0.5509
Al10 Al 0.3347 0.0034 0.0724
Al11 Al 0.9966 0.6653 0.5724
Al12 Al 0.3349 0.3349 0.9491
Al13 Al 0.0034 0.3347 0.4276
Al14 Al 0.6651 0.6651 0.4491
Al15 Al 0.6653 0.9966 0.9276
Al16 Al 0.6653 0.9966 0.5724
Al17 Al 0.3347 0.0034 0.4276
Al18 Al 0.6625 0.4543 0.7500
Rh1 Rh 0.6712 0.3288 0.5000
Rh2 Rh 0.0000 0.0000 0.0000
Rh3 Rh 0.0000 0.0000 0.5000
Rh4 Rh 0.6712 0.3288 0.0000
Rh5 Rh 0.3288 0.6712 0.0000
Rh6 Rh 0.3288 0.6712 0.5000
Nd1 Nd 0.6690 0.9954 0.2500
Nd2 Nd 0.0046 0.3310 0.7500
Nd3 Nd 0.3310 0.0046 0.7500
Nd4 Nd 0.9954 0.6690 0.2500
```

---

(5)
Density functional theory data (meta-GGA SCAN) for a PBEsol-optimized structure of Nd9Al5Se21.

Results
calculated volume: 24.6 Å³ per atom
density: 6.0 Mg/m³
formation energy (no corrections): -1758 meV per atom

```
data_Nd9Al5Se21
_chemical_formula_sum 'Nd18 Al10 Se42'
_space_group_name_H-M_alt 'P 1'
_space_group_IT_number 1
_cell_length_a 12.0349
_cell_length_b 12.0349
_cell_length_c 12.0349
_cell_angle_alpha 94.65
_cell_angle_beta 94.65
_cell_angle_gamma 94.65
loop_
_space_group_symop_operation_xyz
'x,y,z'
loop_
_atom_site_label
_atom_site_type_symbol
_atom_site_fract_x
_atom_site_fract_y
_atom_site_fract_z
Se1 Se 0.6237 0.7203 0.8539
Se2 Se 0.9939 0.5461 0.4593
Se3 Se 0.3260 0.6585 0.9924
Se4 Se 0.4476 0.6968 0.5932
Se5 Se 0.2407 0.1087 0.3394
Se6 Se 0.3666 0.8349 0.2844
Se7 Se 0.4593 0.9939 0.5461
Se8 Se 0.5932 0.4476 0.6968
Se9 Se 0.7951 0.3082 0.8883
Se10 Se 0.7643 0.0078 0.9045
Se11 Se 0.9367 0.0331 0.5187
Se12 Se 0.0604 0.2105 0.9603
Se13 Se 0.5461 0.4593 0.9939
Se14 Se 0.7203 0.8539 0.6237
Se15 Se 0.6585 0.9924 0.3260
Se16 Se 0.2105 0.9603 0.0604
Se17 Se 0.1087 0.3394 0.2407
Se18 Se 0.0331 0.5187 0.9367
Se19 Se 0.3082 0.8883 0.7951
Se20 Se 0.2097 0.1310 0.6454
Se21 Se 0.3826 0.5157 0.2726
Se22 Se 0.8539 0.6237 0.7203
Se23 Se 0.8349 0.2844 0.3666
Se24 Se 0.8279 0.4900 0.1583
Se25 Se 0.6968 0.5932 0.4476
Se26 Se 0.2844 0.3666 0.8349
Se27 Se 0.6454 0.2097 0.1310
Se28 Se 0.2726 0.3826 0.5157
Se29 Se 0.1310 0.6454 0.2097
Se30 Se 0.9045 0.7643 0.0078
Se31 Se 0.3394 0.2407 0.1087
Se32 Se 0.4900 0.1583 0.8279
Se33 Se 0.9603 0.0604 0.2105
Se34 Se 0.0078 0.9045 0.7643
Se35 Se 0.5187 0.9367 0.0331
Se36 Se 0.6986 0.1847 0.6191
Se37 Se 0.6191 0.6986 0.1847
Se38 Se 0.8883 0.7951 0.3082
Se39 Se 0.1847 0.6191 0.6986
Se40 Se 0.5157 0.2726 0.3826
Se41 Se 0.9924 0.3260 0.6585
Se42 Se 0.1583 0.8279 0.4900
Nd1 Nd 0.5465 0.9285 0.7704
Nd2 Nd 0.1141 0.8864 0.2602
Nd3 Nd 0.2266 0.4474 0.0660
Nd4 Nd 0.7514 0.9031 0.1222
Nd5 Nd 0.1222 0.7514 0.9031
Nd6 Nd 0.4474 0.0660 0.2266
Nd7 Nd 0.0660 0.2266 0.4474
Nd8 Nd 0.2602 0.1141 0.8864
Nd9 Nd 0.7894 0.4146 0.5694
Nd10 Nd 0.4419 0.2360 0.6059
Nd11 Nd 0.9031 0.1222 0.7514
Nd12 Nd 0.7704 0.5465 0.9285
Nd13 Nd 0.2360 0.6059 0.4419
Nd14 Nd 0.8864 0.2602 0.1141
Nd15 Nd 0.6059 0.4419 0.2360
Nd16 Nd 0.4146 0.5694 0.7894
Nd17 Nd 0.9285 0.7704 0.5465
Nd18 Nd 0.5694 0.7894 0.4146
Al1 Al 0.6129 0.2805 0.9538
Al2 Al 0.2805 0.9538 0.6129
Al3 Al 0.3274 0.3274 0.3274
Al4 Al 0.4529 0.7753 0.1192
Al5 Al 0.8299 0.8299 0.8299
Al6 Al 0.7753 0.1192 0.4529
Al7 Al 0.1441 0.1441 0.1441
Al8 Al 0.1192 0.4529 0.7753
Al9 Al 0.6465 0.6465 0.6465
Al10 Al 0.9538 0.6129 0.2805
```

---

(6)
Density functional theory data (meta-GGA SCAN) for a PBEsol-optimized structure of NdAlSi2.

Results
calculated volume: 20.2 Å³ per atom
density: 4.7 Mg/m³
formation energy (no corrections): -500 meV per atom

```
data_NdAlSi2
_chemical_formula_sum 'Nd2 Al2 Si4'
_space_group_name_H-M_alt 'P 1'
_space_group_IT_number 1
_cell_length_a 4.1373
_cell_length_b 4.1373
_cell_length_c 10.9279
_cell_angle_alpha 90.00
_cell_angle_beta 90.00
_cell_angle_gamma 120.00
loop_
_space_group_symop_operation_xyz
'x,y,z'
loop_
_atom_site_label
_atom_site_type_symbol
_atom_site_fract_x
_atom_site_fract_y
_atom_site_fract_z
Si1 Si 0.3333 0.6667 0.3520
Si2 Si 0.6667 0.3333 0.6480
Si3 Si 0.3333 0.6667 0.9949
Si4 Si 0.6667 0.3333 0.0051
Al1 Al 0.3333 0.6667 0.5854
Al2 Al 0.6667 0.3333 0.4146
Nd1 Nd 0.0000 0.0000 0.1814
Nd2 Nd 0.0000 0.0000 0.8186
```

---

(7)
Density functional theory data (meta-GGA SCAN) for a PBEsol-optimized structure of Nd6Ta4Al43.

Results
calculated volume: 18.1 Å³ per atom
density: 4.8 Mg/m³
energy of formation: -0.326 eV/atom

```
data_Nd6Ta4Al43
_chemical_formula_sum 'Nd12 Ta8 Al86'
_space_group_name_H-M_alt 'P 1'
_space_group_IT_number 1
_cell_length_a 11.0998
_cell_length_b 11.0998
_cell_length_c 17.9328
_cell_angle_alpha 90.00
_cell_angle_beta 90.00
_cell_angle_gamma 120.00
loop_
_space_group_symop_operation_xyz
'x,y,z'
loop_
_atom_site_label
_atom_site_type_symbol
_atom_site_fract_x
_atom_site_fract_y
_atom_site_fract_z
Nd1 Nd 0.0000 0.5295 0.4043
Nd2 Nd 0.5295 0.0000 0.0957
Nd3 Nd 0.5295 0.5295 0.5957
Nd4 Nd 0.0000 0.4705 0.9043
Nd5 Nd 0.0000 0.4705 0.5957
Nd6 Nd 0.4705 0.4705 0.4043
Nd7 Nd 0.4705 0.0000 0.5957
Nd8 Nd 0.4705 0.0000 0.9043
Nd9 Nd 0.0000 0.5295 0.0957
Nd10 Nd 0.4705 0.4705 0.0957
Nd11 Nd 0.5295 0.5295 0.9043
Nd12 Nd 0.5295 0.0000 0.4043
Al1 Al 0.7468 0.0000 0.5298
Al2 Al 0.7527 0.5055 0.0000
Al3 Al 0.3333 0.6667 0.1259
Al4 Al 0.0000 0.8416 0.3845
Al5 Al 0.5055 0.7527 0.0000
Al6 Al 0.2473 0.7527 0.5000
Al7 Al 0.2473 0.7527 0.0000
Al8 Al 0.2359 0.8417 0.3359
Al9 Al 0.7468 0.7468 0.4702
Al10 Al 0.7468 0.0000 0.9702
Al11 Al 0.7641 0.1583 0.8359
Al12 Al 0.4042 0.8498 0.7500
Al13 Al 0.8417 0.2359 0.3359
Al14 Al 0.3333 0.6667 0.8741
Al15 Al 0.8416 0.8416 0.6155
Al16 Al 0.7527 0.5055 0.5000
Al17 Al 0.1479 0.1479 0.7500
Al18 Al 0.3333 0.6667 0.6259
Al19 Al 0.7527 0.2473 0.0000
Al20 Al 0.6058 0.8417 0.8359
Al21 Al 0.3942 0.2359 0.8359
Al22 Al 0.4042 0.5545 0.2500
Al23 Al 0.5545 0.1502 0.7500
Al24 Al 0.2532 0.0000 0.0298
Al25 Al 0.1502 0.5545 0.7500
Al26 Al 0.1583 0.7641 0.8359
Al27 Al 0.0000 0.1479 0.2500
Al28 Al 0.1584 0.1584 0.3845
Al29 Al 0.0000 0.7468 0.9702
Al30 Al 0.0000 0.8416 0.1155
Al31 Al 0.3942 0.1583 0.1641
Al32 Al 0.0000 0.8521 0.7500
Al33 Al 0.5545 0.4042 0.2500
Al34 Al 0.4945 0.2473 0.5000
Al35 Al 0.6058 0.8417 0.6641
Al36 Al 0.1583 0.3942 0.3359
Al37 Al 0.5958 0.1502 0.2500
Al38 Al 0.2473 0.4945 0.5000
Al39 Al 0.0000 0.2532 0.4702
Al40 Al 0.8417 0.6058 0.8359
Al41 Al 0.5055 0.7527 0.5000
Al42 Al 0.6667 0.3333 0.3741
Al43 Al 0.6058 0.7641 0.1641
Al44 Al 0.6667 0.3333 0.6259
Al45 Al 0.1479 0.0000 0.2500
Al46 Al 0.7641 0.6058 0.3359
Al47 Al 0.2532 0.2532 0.9702
Al48 Al 0.6058 0.7641 0.3359
Al49 Al 0.3942 0.2359 0.6641
Al50 Al 0.8416 0.8416 0.8845
Al51 Al 0.2359 0.3942 0.8359
Al52 Al 0.8417 0.2359 0.1641
Al53 Al 0.2359 0.8417 0.1641
Al54 Al 0.8498 0.4042 0.7500
Al55 Al 0.8416 0.0000 0.3845
Al56 Al 0.8521 0.8521 0.2500
Al57 Al 0.0000 0.1584 0.6155
Al58 Al 0.1583 0.3942 0.1641
Al59 Al 0.7527 0.2473 0.5000
Al60 Al 0.7468 0.7468 0.0298
Al61 Al 0.3333 0.6667 0.3741
Al62 Al 0.1502 0.5958 0.2500
Al63 Al 0.1584 0.0000 0.6155
Al64 Al 0.1584 0.1584 0.1155
Al65 Al 0.0000 0.1584 0.8845
Al66 Al 0.5958 0.4455 0.7500
Al67 Al 0.4945 0.2473 0.0000
Al68 Al 0.1583 0.7641 0.6641
Al69 Al 0.2532 0.2532 0.5298
Al70 Al 0.1584 0.0000 0.8845
Al71 Al 0.7641 0.1583 0.6641
Al72 Al 0.8498 0.4455 0.2500
Al73 Al 0.7641 0.6058 0.1641
Al74 Al 0.0000 0.2532 0.0298
Al75 Al 0.3942 0.1583 0.3359
Al76 Al 0.8417 0.6058 0.6641
Al77 Al 0.4455 0.8498 0.2500
Al78 Al 0.8521 0.0000 0.7500
Al79 Al 0.2532 0.0000 0.4702
Al80 Al 0.6667 0.3333 0.8741
Al81 Al 0.6667 0.3333 0.1259
Al82 Al 0.2473 0.4945 0.0000
Al83 Al 0.8416 0.0000 0.1155
Al84 Al 0.0000 0.7468 0.5298
Al85 Al 0.4455 0.5958 0.7500
Al86 Al 0.2359 0.3942 0.6641
Ta1 Ta 0.0000 0.7283 0.2500
Ta2 Ta 0.0000 0.2717 0.7500
Ta3 Ta 0.2717 0.2717 0.2500
Ta4 Ta 0.0000 0.0000 0.0000
Ta5 Ta 0.7283 0.0000 0.2500
Ta6 Ta 0.7283 0.7283 0.7500
Ta7 Ta 0.0000 0.0000 0.5000
Ta8 Ta 0.2717 0.0000 0.7500
```

---

(8)
Density functional theory data (meta-GGA SCAN) for a PBEsol-optimized structure of Nd6Al43W4.

Results
calculated volume: 17.6 Å³ per atom
density: 4.9 Mg/m³
energy of formation: -0.288 eV/atom

```
data_Nd6Al43W4
_chemical_formula_sum 'Nd12 Al86 W8'
_space_group_name_H-M_alt 'P 1'
_space_group_IT_number 1
_cell_length_a 11.0071
_cell_length_b 11.0071
_cell_length_c 17.8152
_cell_angle_alpha 90.00
_cell_angle_beta 90.00
_cell_angle_gamma 120.00
loop_
_space_group_symop_operation_xyz
'x,y,z'
loop_
_atom_site_label
_atom_site_type_symbol
_atom_site_fract_x
_atom_site_fract_y
_atom_site_fract_z
Al1 Al 0.1580 0.3933 0.1649
Al2 Al 0.6067 0.7646 0.1649
Al3 Al 0.7646 0.1580 0.8351
Al4 Al 0.4939 0.2469 0.5000
Al5 Al 0.5061 0.7531 0.5000
Al6 Al 0.1473 0.5968 0.2500
Al7 Al 0.0000 0.7483 0.9693
Al8 Al 0.3933 0.1580 0.1649
Al9 Al 0.5506 0.4032 0.2500
Al10 Al 0.2354 0.3933 0.8351
Al11 Al 0.0000 0.1597 0.6146
Al12 Al 0.6067 0.8420 0.8351
Al13 Al 0.7646 0.6067 0.3351
Al14 Al 0.6067 0.8420 0.6649
Al15 Al 0.1597 0.1597 0.1146
Al16 Al 0.1597 0.0000 0.8854
Al17 Al 0.7531 0.5061 0.5000
Al18 Al 0.8420 0.2354 0.1649
Al19 Al 0.4032 0.8527 0.7500
Al20 Al 0.3933 0.1580 0.3351
Al21 Al 0.0000 0.8521 0.7500
Al22 Al 0.0000 0.2517 0.0307
Al23 Al 0.2469 0.4939 0.0000
Al24 Al 0.0000 0.2517 0.4693
Al25 Al 0.0000 0.8403 0.1146
Al26 Al 0.5968 0.4494 0.7500
Al27 Al 0.7531 0.2469 0.0000
Al28 Al 0.1479 0.0000 0.2500
Al29 Al 0.5061 0.7531 0.0000
Al30 Al 0.4939 0.2469 0.0000
Al31 Al 0.3933 0.2354 0.8351
Al32 Al 0.5506 0.1473 0.7500
Al33 Al 0.1597 0.1597 0.3854
Al34 Al 0.0000 0.1479 0.2500
Al35 Al 0.6067 0.7646 0.3351
Al36 Al 0.1597 0.0000 0.6146
Al37 Al 0.4494 0.5968 0.7500
Al38 Al 0.6667 0.3333 0.3736
Al39 Al 0.0000 0.7483 0.5307
Al40 Al 0.6667 0.3333 0.1264
Al41 Al 0.8521 0.8521 0.2500
Al42 Al 0.1479 0.1479 0.7500
Al43 Al 0.2469 0.7531 0.5000
Al44 Al 0.3333 0.6667 0.1264
Al45 Al 0.8420 0.6067 0.8351
Al46 Al 0.6667 0.3333 0.6264
Al47 Al 0.7483 0.0000 0.5307
Al48 Al 0.2517 0.0000 0.0307
Al49 Al 0.4494 0.8527 0.2500
Al50 Al 0.7646 0.6067 0.1649
Al51 Al 0.8527 0.4032 0.7500
Al52 Al 0.3333 0.6667 0.8736
Al53 Al 0.2517 0.2517 0.9693
Al54 Al 0.4032 0.5506 0.2500
Al55 Al 0.8403 0.8403 0.8854
Al56 Al 0.8403 0.8403 0.6146
Al57 Al 0.0000 0.1597 0.8854
Al58 Al 0.3333 0.6667 0.6264
Al59 Al 0.8403 0.0000 0.3854
Al60 Al 0.2354 0.8420 0.3351
Al61 Al 0.6667 0.3333 0.8736
Al62 Al 0.1580 0.7646 0.8351
Al63 Al 0.2469 0.4939 0.5000
Al64 Al 0.3333 0.6667 0.3736
Al65 Al 0.3933 0.2354 0.6649
Al66 Al 0.2517 0.2517 0.5307
Al67 Al 0.8403 0.0000 0.1146
Al68 Al 0.2354 0.3933 0.6649
Al69 Al 0.5968 0.1473 0.2500
Al70 Al 0.7531 0.5061 0.0000
Al71 Al 0.7483 0.7483 0.4693
Al72 Al 0.2517 0.0000 0.4693
Al73 Al 0.2354 0.8420 0.1649
Al74 Al 0.7483 0.7483 0.0307
Al75 Al 0.8420 0.2354 0.3351
Al76 Al 0.8521 0.0000 0.7500
Al77 Al 0.8420 0.6067 0.6649
Al78 Al 0.0000 0.8403 0.3854
Al79 Al 0.1473 0.5506 0.7500
Al80 Al 0.7531 0.2469 0.5000
Al81 Al 0.7646 0.1580 0.6649
Al82 Al 0.1580 0.3933 0.3351
Al83 Al 0.2469 0.7531 0.0000
Al84 Al 0.1580 0.7646 0.6649
Al85 Al 0.8527 0.4494 0.2500
Al86 Al 0.7483 0.0000 0.9693
Nd1 Nd 0.5306 0.0000 0.0951
Nd2 Nd 0.4694 0.4694 0.0951
Nd3 Nd 0.5306 0.5306 0.5951
Nd4 Nd 0.5306 0.0000 0.4049
Nd5 Nd 0.4694 0.4694 0.4049
Nd6 Nd 0.4694 0.0000 0.9049
Nd7 Nd 0.0000 0.5306 0.0951
Nd8 Nd 0.0000 0.4694 0.9049
Nd9 Nd 0.4694 0.0000 0.5951
Nd10 Nd 0.0000 0.5306 0.4049
Nd11 Nd 0.5306 0.5306 0.9049
Nd12 Nd 0.0000 0.4694 0.5951
W1 W 0.7317 0.0000 0.2500
W2 W 0.2683 0.2683 0.2500
W3 W 0.0000 0.2683 0.7500
W4 W 0.2683 0.0000 0.7500
W5 W 0.7317 0.7317 0.7500
W6 W 0.0000 0.0000 0.0000
W7 W 0.0000 0.0000 0.5000
W8 W 0.0000 0.7317 0.2500
```

---

Q: Which of these has the highest calculated volume?
A: Nd9Al5Se21

---

Q: The highest density belongs to which entry?
A: NdAlPd2